Below is crystalline LiTl2AgTe4 at its relaxed geometry, with properties calculated at the PBE level.

Results
electronic total energy: -3.0429 eV per atom

Lattice parameters (Å, degrees): 8.0748 8.0748 8.0748 132.01 132.01 70.21
Last column: nearest neighbours and their distance in Å.
Atoms (fractional coordinates):
Tl 0.7500 0.2500 0.5000  4 Te 2.92
Tl 0.5000 0.5000 0.0000  4 Te 2.92
Te 0.1265 0.6422 0.0209  1 Li 2.76, 1 Ag 2.80, 2 Tl 2.92
Te 0.3578 0.3787 0.4843  1 Li 2.76, 1 Ag 2.80, 2 Tl 2.92
Te 0.8944 0.8735 0.5157  1 Li 2.76, 1 Ag 2.80, 2 Tl 2.92
Te 0.6213 0.1056 0.9791  1 Li 2.76, 1 Ag 2.80, 2 Tl 2.92
Ag 0.0000 0.0000 0.0000  4 Te 2.80
Li 0.2500 0.7500 0.5000  4 Te 2.76